RbPaSb | PBE-GGA | optimized geometry

The structure in POSCAR format:
```
RbPaSb
1.0
4.0297 0.0000 0.0000
0.0000 4.0297 0.0000
-2.0148 -2.0148 7.6303
Sb Pa Rb
1 1 1
Cartesian
2.0148 2.0148 3.0831 Sb
0.0000 0.0000 4.2659 Pa
0.0000 0.0000 0.2814 Rb
```

**Crystal system**: tetragonal
**N(E_F)**: 6.41 states/eV/f.u.
**Volume**: 124 Å³/f.u.
**Uncorrected energy**: -14.05 eV/f.u.

RbPaSb2 | PBE-GGA | optimized geometry

The structure in POSCAR format:
```
RbPaSb2
1.0
4.5827 0.0000 0.0000
2.2913 3.9687 0.0000
2.2913 1.3229 8.4647
Sb Pa Rb
2 1 1
Cartesian
2.2913 1.3229 1.5706 Sb
6.8740 3.9687 6.8941 Sb
0.0000 0.0000 0.0000 Pa
4.5827 2.6458 4.2324 Rb
```

**Crystal system**: trigonal
**Volume**: 154 Å³/f.u.
**Uncorrected energy**: -20.49 eV/f.u.

RbPaSb | PBE-GGA | optimized geometry

The structure in POSCAR format:
```
RbPaSb
1.0
4.2497 0.0000 0.0000
0.0000 10.1226 0.0000
0.0000 0.0000 9.6277
Sb Pa Rb
4 4 4
Cartesian
3.1873 1.5516 7.0167 Sb
1.0624 6.6129 7.4248 Sb
1.0624 8.5709 2.6110 Sb
3.1873 3.5096 2.2029 Sb
3.1873 0.4425 4.0767 Pa
1.0624 5.5038 0.7372 Pa
1.0624 9.6801 5.5510 Pa
3.1873 4.6188 8.8905 Pa
3.1873 6.4482 4.4725 Rb
1.0624 1.3869 0.3414 Rb
1.0624 3.6743 5.1552 Rb
3.1873 8.7356 9.2863 Rb
```

**Crystal system**: orthorhombic
**N(E_F)**: 3.67 states/eV/f.u.
**Volume**: 104 Å³/f.u.
**Uncorrected energy**: -14.57 eV/f.u.

Rb2PaSb2Se6 | PBE-GGA | optimized geometry

The structure in POSCAR format:
```
Rb2PaSb2Se6
1.0
-4.7428 -3.0285 4.7065
6.6248 2.1050 2.3448
-3.6233 7.7122 -0.6764
Rb Pa Sb Se
2 1 2 6
Cartesian
-2.8150 -2.1579 4.3060 Rb
4.6970 1.2345 2.7453 Rb
-1.8117 3.8561 -0.3382 Pa
1.0469 4.2603 2.7891 Sb
-2.7882 2.5284 3.5858 Sb
-1.1075 4.6421 4.7595 Se
-0.2043 5.9611 0.7612 Se
-0.6338 2.1466 1.6154 Se
-3.9402 4.2740 1.5374 Se
-1.5370 0.8277 5.6137 Se
2.1989 2.5148 4.8375 Se
```

**Crystal system**: monoclinic
**N(E_F)**: 5.56 states/eV/f.u.
**Volume**: 381 Å³/f.u.
**Uncorrected energy**: -50.42 eV/f.u.

Rb3PaSb3Se8 | PBE-GGA | optimized geometry

The structure in POSCAR format:
```
Rb3PaSb3Se8
1.0
8.5101 0.0000 0.0000
-4.2551 7.3610 -0.0306
0.0000 -4.8708 8.1630
Rb Pa Sb Se
3 1 3 8
Cartesian
0.0000 0.0000 0.0000 Rb
-2.1275 3.6805 -0.0153 Rb
2.1275 3.6805 -0.0153 Rb
0.0000 -2.4354 4.0815 Pa
4.2551 -2.4354 4.0815 Sb
2.1275 1.2451 4.0662 Sb
-2.1275 1.2451 4.0662 Sb
0.0000 2.4645 2.4756 Se
4.2551 0.0257 5.6568 Se
4.2551 2.5233 2.5113 Se
0.0000 -0.0332 5.6211 Se
6.4344 -1.2457 2.5264 Se
-2.1794 3.7359 5.6060 Se
2.0757 -1.2457 2.5264 Se
2.1794 3.7359 5.6060 Se
```

**Crystal system**: monoclinic
**N(E_F)**: 6.50 states/eV/f.u.
**Volume**: 510 Å³/f.u.
**Uncorrected energy**: -65.13 eV/f.u.

Rb3PaSb2Te6 | PBE-GGA | optimized geometry

The structure in POSCAR format:
```
Rb3PaSb2Te6
1.0
-4.8907 3.9002 -5.0883
5.9717 -4.6082 -2.8506
-5.5200 -6.3790 2.5403
Rb Pa Sb Te
3 1 2 6
Cartesian
1.3710 -6.3560 -1.9597 Rb
-5.8101 -0.7310 -3.4390 Rb
-2.2195 -3.5435 -2.6993 Rb
0.0000 0.0000 0.0000 Pa
2.3413 -1.7646 -3.5985 Sb
-1.2604 1.0566 -4.3405 Sb
-5.4011 -4.2775 -4.4364 Te
-0.2881 -1.7734 -5.3442 Te
0.9621 -2.8095 -0.9623 Te
-1.8208 -7.0820 -3.6988 Te
-4.1509 -5.3136 -0.0545 Te
-2.6183 -0.0050 -1.6998 Te
```

**Crystal system**: monoclinic
**N(E_F)**: 8.82 states/eV/f.u.
**Volume**: 472 Å³/f.u.
**Uncorrected energy**: -47.11 eV/f.u.

Rb4ScPa3Se8 | PBE-GGA | optimized geometry

The structure in POSCAR format:
```
Rb4ScPa3Se8
1.0
-4.3357 -1.4657 -6.9309
-1.5116 -8.8954 2.8268
-2.4419 5.9633 5.2430
Rb Sc Pa Se
4 1 3 8
Cartesian
-2.1679 -0.7329 -3.4655 Rb
-3.3888 2.2488 -0.8439 Rb
0.0000 0.0000 0.0000 Rb
-1.2210 2.9817 2.6215 Rb
-0.7558 -4.4477 1.4134 Sc
-2.9237 -5.1806 -2.0520 Pa
-4.1446 -2.1989 0.5695 Pa
-1.9768 -1.4661 4.0349 Pa
-4.4054 -0.7470 5.4798 Se
-3.1470 -3.8215 2.7768 Se
-2.8855 0.1515 1.7730 Se
-6.6410 -1.5027 1.9061 Se
-1.6483 -2.8951 -0.7672 Se
-5.4038 -4.5494 -0.6341 Se
-5.1423 -0.5764 -1.6378 Se
-3.8839 -3.6509 -4.3409 Se
```

**Crystal system**: trigonal
**N(E_F)**: 16.07 states/eV/f.u.
**Volume**: 487 Å³/f.u.
**Uncorrected energy**: -88.28 eV/f.u.

RbScPaSe4 | PBE-GGA | optimized geometry

The structure in POSCAR format:
```
RbScPaSe4
1.0
-6.6996 -2.7722 5.7891
-0.0982 -1.6826 -8.3544
5.8818 -3.6421 5.0629
Rb Sc Pa Se
2 2 2 8
Cartesian
-5.2324 -4.4494 -0.7510 Rb
4.3164 -3.6475 3.2486 Rb
-0.4089 -3.2071 5.4260 Sc
-3.3498 -1.3861 2.8946 Sc
-0.4580 -4.0484 1.2488 Pa
2.8918 -2.6624 -1.6458 Pa
-0.9153 -5.4048 3.7876 Se
-0.6268 -1.8347 3.0374 Se
-3.1442 -2.8763 5.2127 Se
-3.3329 -3.9078 1.7066 Se
2.4168 -4.1890 0.7910 Se
-0.2893 -6.2622 -0.5398 Se
2.2281 -5.2206 -2.7151 Se
-0.0007 -2.6921 -1.2899 Se
```

**Crystal system**: orthorhombic
**N(E_F)**: 5.18 states/eV/f.u.
**Volume**: 228 Å³/f.u.
**Uncorrected energy**: -40.48 eV/f.u.

Rb2ScPa2Se6 | PBE-GGA | optimized geometry

The structure in POSCAR format:
```
Rb2ScPa2Se6
1.0
-4.9559 2.1287 -4.5599
-1.9318 -3.3513 5.9094
1.7513 7.6691 3.5084
Rb Sc Pa Se
2 1 2 6
Cartesian
-4.4452 1.2032 -2.7918 Rb
-2.4425 -2.4259 4.1414 Rb
0.8757 3.8345 1.7542 Sc
-2.0719 2.3239 4.1471 Pa
-3.0645 4.1226 0.7108 Pa
-3.9136 4.4137 3.4407 Se
0.1432 4.1361 4.4289 Se
-1.2228 2.0327 1.4172 Se
-0.8379 5.9140 1.0323 Se
-5.2796 2.3103 0.4291 Se
-4.2985 0.5325 3.8256 Se
```

**Crystal system**: monoclinic
**N(E_F)**: 12.41 states/eV/f.u.
**Volume**: 360 Å³/f.u.
**Uncorrected energy**: -64.08 eV/f.u.

Rb2ScPaSe4 | PBE-GGA | optimized geometry

The structure in POSCAR format:
```
Rb2ScPaSe4
1.0
-3.9608 0.9977 0.5890
0.4983 -2.0538 6.8299
2.0282 8.1529 -0.1714
Rb Sc Pa Se
2 1 1 4
Cartesian
-0.9663 4.5753 0.2088 Rb
1.2633 3.0496 3.3292 Rb
0.0000 0.0000 0.0000 Sc
-1.7313 -0.5280 3.7094 Pa
-1.4832 1.5974 1.7770 Se
0.0489 5.4994 5.4704 Se
1.7532 6.0075 1.6133 Se
0.7733 0.0916 5.0451 Se
```

**Crystal system**: monoclinic
**N(E_F)**: 7.69 states/eV/f.u.
**Volume**: 238 Å³/f.u.
**Uncorrected energy**: -43.12 eV/f.u.

Rb3Sc3PaTe8 | PBE-GGA | optimized geometry

The structure in POSCAR format:
```
Rb3Sc3PaTe8
1.0
8.6278 0.0000 0.0000
-4.3139 7.4720 -0.0299
0.0000 -4.9468 8.6794
Rb Sc Pa Te
3 3 1 8
Cartesian
0.0000 0.0000 0.0000 Rb
-2.1569 3.7360 -0.0149 Rb
2.1569 3.7360 -0.0149 Rb
4.3139 -2.4734 4.3397 Sc
2.1569 1.2626 4.3248 Sc
-2.1569 1.2626 4.3248 Sc
0.0000 -2.4734 4.3397 Pa
0.0000 2.5006 2.6885 Te
4.3139 0.0247 5.9610 Te
4.3139 2.4037 2.6398 Te
0.0000 0.1215 6.0097 Te
6.3875 -1.1868 2.6531 Te
-2.0736 3.7120 5.9964 Te
2.2402 -1.1868 2.6531 Te
2.0736 3.7120 5.9964 Te
```

**Crystal system**: trigonal
**N(E_F)**: 6.92 states/eV/f.u.
**Volume**: 558 Å³/f.u.
**Uncorrected energy**: -74.01 eV/f.u.

Rb3ScPa2Te6 | PBE-GGA | optimized geometry

The structure in POSCAR format:
```
Rb3ScPa2Te6
1.0
-0.6531 -1.0571 -7.5454
6.9194 0.1335 3.2530
-2.5067 -8.2999 2.6729
Rb Sc Pa Te
3 1 2 6
Cartesian
4.3814 -4.2185 2.7576 Rb
-0.6218 -5.0051 -4.3771 Rb
1.8798 -4.6118 -0.8097 Rb
0.0000 0.0000 0.0000 Sc
4.3895 -0.2643 -0.3546 Pa
1.8768 -0.6593 -3.9378 Pa
1.6119 -7.5413 -2.9201 Te
4.1637 -2.3662 -2.6589 Te
2.1476 -1.6822 1.3007 Te
4.0564 -7.1570 0.5657 Te
-0.4042 -6.8573 1.0395 Te
-0.2969 -2.0665 -2.1852 Te
```

**Crystal system**: monoclinic
**N(E_F)**: 13.03 states/eV/f.u.
**Volume**: 441 Å³/f.u.
**Uncorrected energy**: -59.17 eV/f.u.

Copy entry 3 word for word.
RbPaSb | PBE-GGA | optimized geometry

The structure in POSCAR format:
```
RbPaSb
1.0
4.2497 0.0000 0.0000
0.0000 10.1226 0.0000
0.0000 0.0000 9.6277
Sb Pa Rb
4 4 4
Cartesian
3.1873 1.5516 7.0167 Sb
1.0624 6.6129 7.4248 Sb
1.0624 8.5709 2.6110 Sb
3.1873 3.5096 2.2029 Sb
3.1873 0.4425 4.0767 Pa
1.0624 5.5038 0.7372 Pa
1.0624 9.6801 5.5510 Pa
3.1873 4.6188 8.8905 Pa
3.1873 6.4482 4.4725 Rb
1.0624 1.3869 0.3414 Rb
1.0624 3.6743 5.1552 Rb
3.1873 8.7356 9.2863 Rb
```

**Crystal system**: orthorhombic
**N(E_F)**: 3.67 states/eV/f.u.
**Volume**: 104 Å³/f.u.
**Uncorrected energy**: -14.57 eV/f.u.

Copy entry 11 word for word.
Rb3Sc3PaTe8 | PBE-GGA | optimized geometry

The structure in POSCAR format:
```
Rb3Sc3PaTe8
1.0
8.6278 0.0000 0.0000
-4.3139 7.4720 -0.0299
0.0000 -4.9468 8.6794
Rb Sc Pa Te
3 3 1 8
Cartesian
0.0000 0.0000 0.0000 Rb
-2.1569 3.7360 -0.0149 Rb
2.1569 3.7360 -0.0149 Rb
4.3139 -2.4734 4.3397 Sc
2.1569 1.2626 4.3248 Sc
-2.1569 1.2626 4.3248 Sc
0.0000 -2.4734 4.3397 Pa
0.0000 2.5006 2.6885 Te
4.3139 0.0247 5.9610 Te
4.3139 2.4037 2.6398 Te
0.0000 0.1215 6.0097 Te
6.3875 -1.1868 2.6531 Te
-2.0736 3.7120 5.9964 Te
2.2402 -1.1868 2.6531 Te
2.0736 3.7120 5.9964 Te
```

**Crystal system**: trigonal
**N(E_F)**: 6.92 states/eV/f.u.
**Volume**: 558 Å³/f.u.
**Uncorrected energy**: -74.01 eV/f.u.